Below is a relaxed Mn3Pt4O12 crystal, with properties calculated at the PBE with a Hubbard U level.

Output
* size of the total moment: 0.68 μB/atom
* E_tot: -121.26 eV for the cell shown

Cell lengths 6.615, 6.615, 6.615 Å; angles 109.47, 109.47, 109.47 degrees
Fractional coordinates of all 19 atoms:
Mn (0.000, 0.500, 0.500)
Mn (0.500, 0.000, 0.500)
Mn (0.500, 0.500, 0.000)
Pt (0.000, 0.000, 0.500)
Pt (0.000, 0.500, 0.000)
Pt (0.500, 0.000, 0.000)
Pt (0.500, 0.500, 0.500)
O (0.136, 0.326, 0.810)
O (0.190, 0.516, 0.326)
O (0.190, 0.864, 0.674)
O (0.326, 0.190, 0.516)
O (0.326, 0.810, 0.136)
O (0.484, 0.674, 0.810)
O (0.516, 0.326, 0.190)
O (0.674, 0.190, 0.864)
O (0.674, 0.810, 0.484)
O (0.810, 0.136, 0.326)
O (0.810, 0.484, 0.674)
O (0.864, 0.674, 0.190)